# 1
# PmMgSc5

A relaxed PmMgSc5 crystal (GGA-PBE, the Alexandria database).

a b c (Å): 15.5081 5.9552 10.1737
angles (deg): 90.00 128.39 90.00
With the nearest neighbours (Å) after each atom.
Space group C2/c (No. 15)
Asymmetric unit:
Pm 0.2500 0.2500 0.0000  10 Sc 3.26-3.55, 2 Mg 3.40
Mg 0.0000 0.0056 0.2500  8 Sc 2.95-3.19
Sc 0.0000 0.4901 0.7500  2 Mg 2.95-3.00, 6 Sc 3.05-3.20
Sc 0.0775 0.2497 0.0821  2 Mg 3.00-3.18, 5 Sc 3.05-3.31, 1 Pm 3.26
Sc 0.1799 0.2561 0.5952  5 Sc 3.10-3.37, 1 Mg 3.19

final energy: -5.27 eV/atom
formation energy: 1.1 eV/f.u.
calculated volume: 26.30 Å³/atom

***

# 2
# PmMgSc2

A relaxed PmMgSc2 crystal (GGA-PBE, the Alexandria database).

a b c (Å): 7.4969 7.4969 7.4969
angles (deg): 90.00 90.00 90.00
With the nearest neighbours (Å) after each atom.
Space group Fm-3m (No. 225)
Asymmetric unit:
Pm 0.0000 0.0000 0.0000  8 Sc 3.25
Mg 0.0000 0.0000 0.5000  8 Sc 3.25
Sc 0.2500 0.2500 0.2500  4 Mg 3.25, 4 Pm 3.25

final energy: -4.63 eV/atom
formation energy: 0.5 eV/f.u.
distance to the lowest polymorph of the same formula: 0.1178 eV per atom
calculated volume: 26.33 Å³/atom

***

# 3
# PmMgSc

A relaxed PmMgSc crystal (GGA-PBE, the Alexandria database).

a b c (Å): 3.3092 5.3185 9.2810
angles (deg): 90.00 90.08 90.00
With the nearest neighbours (Å) after each atom.
Space group P2_1/m (No. 11)
Asymmetric unit:
Pm 0.0001 0.2500 0.0794  4 Pm 3.04-3.31, 1 Mg 3.17
Mg 0.9998 0.2500 0.4212  4 Mg 3.03-3.31, 1 Pm 3.17, 2 Sc 3.36-3.37
Sc 0.4991 0.2500 0.7368  2 Sc 3.31, 6 Mg 3.36-3.46, 6 Pm 3.57-3.58

final energy: -4.14 eV/atom
formation energy: 0.2 eV/f.u.
distance to the lowest polymorph of the same formula: 0.1022 eV per atom
calculated volume: 27.22 Å³/atom

***

Question: Number 1 is which compound?
Answer: PmMgSc5

***

Question: What is the calculated volume in the first record?
Answer: 26.30 Å³/atom

***

Question: Which of these has the highest final energy?
Answer: PmMgSc